# MgHg4Pd5 (GGA-PBE, optimized geometry)
# Formation enthalpy at 0 K (meV/atom): -276
data_MgHg4Pd5
_chemical_formula_sum 'Mg1 Hg4 Pd5'
_cell_length_a 3.242
_cell_length_b 3.242
_cell_length_c 16.831
_cell_angle_alpha 90.00
_cell_angle_beta 90.00
_cell_angle_gamma 90.00
_symmetry_space_group_name_H-M 'P 1'
_symmetry_Int_Tables_number 1
loop_
_symmetry_equiv_pos_as_xyz
'x,y,z'
loop_
_atom_site_label
_atom_site_fract_x
_atom_site_fract_y
_atom_site_fract_z
Mg1 0.000 0.000 0.000
Hg1 0.000 0.000 0.193
Hg2 0.000 0.000 0.398
Hg3 0.000 0.000 0.602
Hg4 0.000 0.000 0.807
Pd1 0.500 0.500 0.090
Pd2 0.500 0.500 0.295
Pd3 0.500 0.500 0.500
Pd4 0.500 0.500 0.705
Pd5 0.500 0.500 0.910

# Mg2HgPd5 (GGA-PBE, optimized geometry)
# Formation enthalpy at 0 K (meV/atom): -505
data_Mg2HgPd5
_chemical_formula_sum 'Mg4 Hg2 Pd10'
_cell_length_a 5.639
_cell_length_b 11.230
_cell_length_c 4.132
_cell_angle_alpha 90.00
_cell_angle_beta 90.00
_cell_angle_gamma 90.00
_symmetry_space_group_name_H-M 'P 1'
_symmetry_Int_Tables_number 1
loop_
_symmetry_equiv_pos_as_xyz
'x,y,z'
loop_
_atom_site_label
_atom_site_fract_x
_atom_site_fract_y
_atom_site_fract_z
Mg1 0.210 0.135 0.000
Mg2 0.290 0.635 0.000
Mg3 0.710 0.365 0.000
Mg4 0.790 0.865 0.000
Hg1 0.000 0.500 0.500
Hg2 0.500 0.000 0.500
Pd1 0.000 0.000 0.500
Pd2 0.040 0.750 0.500
Pd3 0.227 0.378 0.000
Pd4 0.273 0.878 0.000
Pd5 0.460 0.250 0.500
Pd6 0.500 0.500 0.500
Pd7 0.540 0.750 0.500
Pd8 0.727 0.122 0.000
Pd9 0.773 0.622 0.000
Pd10 0.960 0.250 0.500

# Mg3Hg2Pd7 (GGA-PBE, optimized geometry)
# Formation enthalpy at 0 K (meV/atom): -363
data_Mg3Hg2Pd7
_chemical_formula_sum 'Mg3 Hg2 Pd7'
_cell_length_a 11.125
_cell_length_b 11.125
_cell_length_c 4.414
_cell_angle_alpha 90.00
_cell_angle_beta 90.00
_cell_angle_gamma 156.29
_symmetry_space_group_name_H-M 'P 1'
_symmetry_Int_Tables_number 1
loop_
_symmetry_equiv_pos_as_xyz
'x,y,z'
loop_
_atom_site_label
_atom_site_fract_x
_atom_site_fract_y
_atom_site_fract_z
Mg1 0.000 0.000 0.000
Mg2 0.152 0.848 0.000
Mg3 0.848 0.152 0.000
Hg1 0.349 0.651 0.500
Hg2 0.651 0.349 0.500
Pd1 0.076 0.924 0.500
Pd2 0.219 0.781 0.500
Pd3 0.428 0.572 0.000
Pd4 0.500 0.500 0.500
Pd5 0.572 0.428 0.000
Pd6 0.781 0.219 0.500
Pd7 0.924 0.076 0.500

# Mg3Hg2Pd (GGA-PBE, optimized geometry)
# Formation enthalpy at 0 K (meV/atom): -395
data_Mg3Hg2Pd
_chemical_formula_sum 'Mg6 Hg4 Pd2'
_cell_length_a 7.362
_cell_length_b 7.362
_cell_length_c 7.149
_cell_angle_alpha 90.00
_cell_angle_beta 90.00
_cell_angle_gamma 143.11
_symmetry_space_group_name_H-M 'P 1'
_symmetry_Int_Tables_number 1
loop_
_symmetry_equiv_pos_as_xyz
'x,y,z'
loop_
_atom_site_label
_atom_site_fract_x
_atom_site_fract_y
_atom_site_fract_z
Mg1 0.000 0.000 0.234
Mg2 0.000 0.000 0.766
Mg3 0.327 0.673 0.223
Mg4 0.327 0.673 0.777
Mg5 0.673 0.327 0.223
Mg6 0.673 0.327 0.777
Hg1 0.166 0.834 0.500
Hg2 0.500 0.500 0.000
Hg3 0.500 0.500 0.500
Hg4 0.834 0.166 0.500
Pd1 0.165 0.835 0.000
Pd2 0.835 0.165 0.000

# MgHg3Pd (GGA-PBE, optimized geometry)
# Formation enthalpy at 0 K (meV/atom): 103
data_MgHg3Pd
_chemical_formula_sum 'Mg1 Hg3 Pd1'
_cell_length_a 5.279
_cell_length_b 5.279
_cell_length_c 5.279
_cell_angle_alpha 90.00
_cell_angle_beta 90.00
_cell_angle_gamma 90.00
_symmetry_space_group_name_H-M 'P 1'
_symmetry_Int_Tables_number 1
loop_
_symmetry_equiv_pos_as_xyz
'x,y,z'
loop_
_atom_site_label
_atom_site_fract_x
_atom_site_fract_y
_atom_site_fract_z
Mg1 0.000 0.000 0.000
Hg1 0.000 0.500 0.500
Hg2 0.500 0.000 0.500
Hg3 0.500 0.500 0.000
Pd1 0.500 0.500 0.500

# MgHg3Pd3 (GGA-PBE, optimized geometry)
# Formation enthalpy at 0 K (meV/atom): -275
data_MgHg3Pd3
_chemical_formula_sum 'Mg2 Hg6 Pd6'
_cell_length_a 6.609
_cell_length_b 6.609
_cell_length_c 6.172
_cell_angle_alpha 90.00
_cell_angle_beta 90.00
_cell_angle_gamma 90.67
_symmetry_space_group_name_H-M 'P 1'
_symmetry_Int_Tables_number 1
loop_
_symmetry_equiv_pos_as_xyz
'x,y,z'
loop_
_atom_site_label
_atom_site_fract_x
_atom_site_fract_y
_atom_site_fract_z
Mg1 0.249 0.751 0.000
Mg2 0.751 0.249 0.000
Hg1 0.264 0.736 0.500
Hg2 0.268 0.268 0.500
Hg3 0.273 0.273 0.000
Hg4 0.727 0.727 0.000
Hg5 0.732 0.732 0.500
Hg6 0.736 0.264 0.500
Pd1 0.000 0.000 0.246
Pd2 0.000 0.000 0.754
Pd3 0.000 0.500 0.242
Pd4 0.000 0.500 0.758
Pd5 0.500 0.000 0.242
Pd6 0.500 0.000 0.758

# MgHg2Pd (GGA-PBE, optimized geometry)
# Formation enthalpy at 0 K (meV/atom): 86
data_MgHg2Pd
_chemical_formula_sum 'Mg1 Hg2 Pd1'
_cell_length_a 10.318
_cell_length_b 10.318
_cell_length_c 10.318
_cell_angle_alpha 17.34
_cell_angle_beta 17.34
_cell_angle_gamma 17.34
_symmetry_space_group_name_H-M 'P 1'
_symmetry_Int_Tables_number 1
loop_
_symmetry_equiv_pos_as_xyz
'x,y,z'
loop_
_atom_site_label
_atom_site_fract_x
_atom_site_fract_y
_atom_site_fract_z
Mg1 0.000 0.000 0.000
Hg1 0.412 0.412 0.412
Hg2 0.588 0.588 0.588
Pd1 0.500 0.500 0.500

# MgHg2Pd2 (GGA-PBE, optimized geometry)
# Formation enthalpy at 0 K (meV/atom): -184
data_MgHg2Pd2
_chemical_formula_sum 'Mg2 Hg4 Pd4'
_cell_length_a 7.597
_cell_length_b 7.597
_cell_length_c 3.367
_cell_angle_alpha 90.00
_cell_angle_beta 90.00
_cell_angle_gamma 90.00
_symmetry_space_group_name_H-M 'P 1'
_symmetry_Int_Tables_number 1
loop_
_symmetry_equiv_pos_as_xyz
'x,y,z'
loop_
_atom_site_label
_atom_site_fract_x
_atom_site_fract_y
_atom_site_fract_z
Mg1 0.000 0.000 0.000
Mg2 0.500 0.500 0.000
Hg1 0.138 0.362 0.000
Hg2 0.362 0.862 0.000
Hg3 0.638 0.138 0.000
Hg4 0.862 0.638 0.000
Pd1 0.162 0.662 0.500
Pd2 0.338 0.162 0.500
Pd3 0.662 0.838 0.500
Pd4 0.838 0.338 0.500

# MgHgPdPt (GGA-PBE, optimized geometry)
# Formation enthalpy at 0 K (meV/atom): -434
data_MgHgPdPt
_chemical_formula_sum 'Mg1 Hg1 Pd1 Pt1'
_cell_length_a 4.599
_cell_length_b 4.599
_cell_length_c 4.599
_cell_angle_alpha 60.00
_cell_angle_beta 60.00
_cell_angle_gamma 60.00
_symmetry_space_group_name_H-M 'P 1'
_symmetry_Int_Tables_number 1
loop_
_symmetry_equiv_pos_as_xyz
'x,y,z'
loop_
_atom_site_label
_atom_site_fract_x
_atom_site_fract_y
_atom_site_fract_z
Mg1 0.000 0.000 0.000
Hg1 0.500 0.500 0.500
Pd1 0.750 0.750 0.750
Pt1 0.250 0.250 0.250

# MgHgPdPt (GGA-PBE, optimized geometry)
# Formation enthalpy at 0 K (meV/atom): -495
data_MgHgPdPt
_chemical_formula_sum 'Mg1 Hg1 Pd1 Pt1'
_cell_length_a 3.833
_cell_length_b 4.201
_cell_length_c 4.206
_cell_angle_alpha 90.00
_cell_angle_beta 90.00
_cell_angle_gamma 90.00
_symmetry_space_group_name_H-M 'P 1'
_symmetry_Int_Tables_number 1
loop_
_symmetry_equiv_pos_as_xyz
'x,y,z'
loop_
_atom_site_label
_atom_site_fract_x
_atom_site_fract_y
_atom_site_fract_z
Mg1 0.000 0.000 0.000
Hg1 0.000 0.500 0.500
Pd1 0.500 0.000 0.500
Pt1 0.500 0.500 0.000

# PuMgHgPd (GGA-PBE, optimized geometry)
# Formation enthalpy at 0 K (meV/atom): -273
data_PuMgHgPd
_chemical_formula_sum 'Pu1 Mg1 Hg1 Pd1'
_cell_length_a 5.000
_cell_length_b 5.000
_cell_length_c 5.000
_cell_angle_alpha 60.00
_cell_angle_beta 60.00
_cell_angle_gamma 60.00
_symmetry_space_group_name_H-M 'P 1'
_symmetry_Int_Tables_number 1
loop_
_symmetry_equiv_pos_as_xyz
'x,y,z'
loop_
_atom_site_label
_atom_site_fract_x
_atom_site_fract_y
_atom_site_fract_z
Pu1 0.000 0.000 0.000
Mg1 0.500 0.500 0.500
Hg1 0.250 0.250 0.250
Pd1 0.750 0.750 0.750

# RbMgHg2Pd (GGA-PBE, optimized geometry)
# Formation enthalpy at 0 K (meV/atom): -241
data_RbMgHg2Pd
_chemical_formula_sum 'Rb1 Mg1 Hg2 Pd1'
_cell_length_a 5.446
_cell_length_b 5.446
_cell_length_c 5.091
_cell_angle_alpha 90.00
_cell_angle_beta 90.00
_cell_angle_gamma 90.00
_symmetry_space_group_name_H-M 'P 1'
_symmetry_Int_Tables_number 1
loop_
_symmetry_equiv_pos_as_xyz
'x,y,z'
loop_
_atom_site_label
_atom_site_fract_x
_atom_site_fract_y
_atom_site_fract_z
Rb1 0.000 0.000 0.000
Mg1 0.500 0.500 0.000
Hg1 0.000 0.500 0.500
Hg2 0.500 0.000 0.500
Pd1 0.500 0.500 0.500

# RbMgHg2Pd (GGA-PBE, optimized geometry)
# Formation enthalpy at 0 K (meV/atom): 948
data_RbMgHg2Pd
_chemical_formula_sum 'Rb1 Mg1 Hg2 Pd1'
_cell_length_a 6.502
_cell_length_b 6.502
_cell_length_c 6.978
_cell_angle_alpha 90.00
_cell_angle_beta 90.00
_cell_angle_gamma 90.00
_symmetry_space_group_name_H-M 'P 1'
_symmetry_Int_Tables_number 1
loop_
_symmetry_equiv_pos_as_xyz
'x,y,z'
loop_
_atom_site_label
_atom_site_fract_x
_atom_site_fract_y
_atom_site_fract_z
Rb1 0.000 0.000 0.000
Mg1 0.000 0.000 0.500
Hg1 0.000 0.500 0.000
Hg2 0.500 0.000 0.000
Pd1 0.500 0.500 0.500

# Mg5Hg2PdRh2 (GGA-PBE, optimized geometry)
# Formation enthalpy at 0 K (meV/atom): -340
data_Mg5Hg2PdRh2
_chemical_formula_sum 'Mg10 Hg4 Pd2 Rh4'
_cell_length_a 10.888
_cell_length_b 10.888
_cell_length_c 3.196
_cell_angle_alpha 90.00
_cell_angle_beta 90.00
_cell_angle_gamma 90.00
_symmetry_space_group_name_H-M 'P 1'
_symmetry_Int_Tables_number 1
loop_
_symmetry_equiv_pos_as_xyz
'x,y,z'
loop_
_atom_site_label
_atom_site_fract_x
_atom_site_fract_y
_atom_site_fract_z
Mg1 0.000 0.500 0.000
Mg2 0.056 0.195 0.000
Mg3 0.195 0.944 0.000
Mg4 0.305 0.444 0.000
Mg5 0.444 0.695 0.000
Mg6 0.500 0.000 0.000
Mg7 0.556 0.305 0.000
Mg8 0.695 0.556 0.000
Mg9 0.805 0.056 0.000
Mg10 0.944 0.805 0.000
Hg1 0.175 0.675 0.500
Hg2 0.325 0.175 0.500
Hg3 0.675 0.825 0.500
Hg4 0.825 0.325 0.500
Pd1 0.000 0.000 0.500
Pd2 0.500 0.500 0.500
Rh1 0.136 0.364 0.500
Rh2 0.364 0.864 0.500
Rh3 0.636 0.136 0.500
Rh4 0.864 0.636 0.500

# Mg5Hg2Pd2Rh (GGA-PBE, optimized geometry)
# Formation enthalpy at 0 K (meV/atom): -410
data_Mg5Hg2Pd2Rh
_chemical_formula_sum 'Mg10 Hg4 Pd4 Rh2'
_cell_length_a 11.203
_cell_length_b 11.203
_cell_length_c 3.087
_cell_angle_alpha 90.00
_cell_angle_beta 90.00
_cell_angle_gamma 90.00
_symmetry_space_group_name_H-M 'P 1'
_symmetry_Int_Tables_number 1
loop_
_symmetry_equiv_pos_as_xyz
'x,y,z'
loop_
_atom_site_label
_atom_site_fract_x
_atom_site_fract_y
_atom_site_fract_z
Mg1 0.000 0.500 0.000
Mg2 0.047 0.189 0.000
Mg3 0.189 0.953 0.000
Mg4 0.311 0.453 0.000
Mg5 0.453 0.689 0.000
Mg6 0.500 0.000 0.000
Mg7 0.547 0.311 0.000
Mg8 0.689 0.547 0.000
Mg9 0.811 0.047 0.000
Mg10 0.953 0.811 0.000
Hg1 0.177 0.677 0.500
Hg2 0.323 0.177 0.500
Hg3 0.677 0.823 0.500
Hg4 0.823 0.323 0.500
Pd1 0.138 0.362 0.500
Pd2 0.362 0.862 0.500
Pd3 0.638 0.138 0.500
Pd4 0.862 0.638 0.500
Rh1 0.000 0.000 0.500
Rh2 0.500 0.500 0.500

# Mg2Sc5HgPd2 (GGA-PBE, optimized geometry)
# Formation enthalpy at 0 K (meV/atom): -443
data_Mg2Sc5HgPd2
_chemical_formula_sum 'Mg4 Sc10 Hg2 Pd4'
_cell_length_a 11.217
_cell_length_b 11.217
_cell_length_c 3.535
_cell_angle_alpha 90.00
_cell_angle_beta 90.00
_cell_angle_gamma 90.00
_symmetry_space_group_name_H-M 'P 1'
_symmetry_Int_Tables_number 1
loop_
_symmetry_equiv_pos_as_xyz
'x,y,z'
loop_
_atom_site_label
_atom_site_fract_x
_atom_site_fract_y
_atom_site_fract_z
Mg1 0.172 0.328 0.000
Mg2 0.328 0.828 0.000
Mg3 0.672 0.172 0.000
Mg4 0.828 0.672 0.000
Sc1 0.000 0.500 0.500
Sc2 0.073 0.800 0.500
Sc3 0.200 0.073 0.500
Sc4 0.300 0.573 0.500
Sc5 0.427 0.300 0.500
Sc6 0.500 0.000 0.500
Sc7 0.573 0.700 0.500
Sc8 0.700 0.427 0.500
Sc9 0.800 0.927 0.500
Sc10 0.927 0.200 0.500
Hg1 0.000 0.000 0.000
Hg2 0.500 0.500 0.000
Pd1 0.131 0.631 0.000
Pd2 0.369 0.131 0.000
Pd3 0.631 0.869 0.000
Pd4 0.869 0.369 0.000

# Mg2Si2HgPd5 (GGA-PBE, optimized geometry)
# ΔE_f (raw) (meV per atom): -551
data_Mg2Si2HgPd5
_chemical_formula_sum 'Mg4 Si4 Hg2 Pd10'
_cell_length_a 9.771
_cell_length_b 9.771
_cell_length_c 3.491
_cell_angle_alpha 90.00
_cell_angle_beta 90.00
_cell_angle_gamma 90.00
_symmetry_space_group_name_H-M 'P 1'
_symmetry_Int_Tables_number 1
loop_
_symmetry_equiv_pos_as_xyz
'x,y,z'
loop_
_atom_site_label
_atom_site_fract_x
_atom_site_fract_y
_atom_site_fract_z
Mg1 0.172 0.328 0.000
Mg2 0.328 0.828 0.000
Mg3 0.672 0.172 0.000
Mg4 0.828 0.672 0.000
Si1 0.126 0.626 0.000
Si2 0.374 0.126 0.000
Si3 0.626 0.874 0.000
Si4 0.874 0.374 0.000
Hg1 0.000 0.000 0.000
Hg2 0.500 0.500 0.000
Pd1 0.000 0.500 0.500
Pd2 0.075 0.788 0.500
Pd3 0.212 0.075 0.500
Pd4 0.288 0.575 0.500
Pd5 0.425 0.288 0.500
Pd6 0.500 0.000 0.500
Pd7 0.575 0.712 0.500
Pd8 0.712 0.425 0.500
Pd9 0.788 0.925 0.500
Pd10 0.925 0.212 0.500

# SmMgHgPd (GGA-PBE, optimized geometry)
# Formation enthalpy at 0 K (meV/atom): -566
data_SmMgHgPd
_chemical_formula_sum 'Sm1 Mg1 Hg1 Pd1'
_cell_length_a 4.826
_cell_length_b 4.826
_cell_length_c 5.222
_cell_angle_alpha 117.44
_cell_angle_beta 117.44
_cell_angle_gamma 60.01
_symmetry_space_group_name_H-M 'P 1'
_symmetry_Int_Tables_number 1
loop_
_symmetry_equiv_pos_as_xyz
'x,y,z'
loop_
_atom_site_label
_atom_site_fract_x
_atom_site_fract_y
_atom_site_fract_z
Sm1 0.000 0.000 0.000
Mg1 0.487 0.487 0.461
Hg1 0.232 0.232 0.694
Pd1 0.774 0.774 0.323

# SrMgHg2Pd (GGA-PBE, optimized geometry)
# Formation enthalpy at 0 K (meV/atom): -310
data_SrMgHg2Pd
_chemical_formula_sum 'Sr1 Mg1 Hg2 Pd1'
_cell_length_a 5.332
_cell_length_b 5.332
_cell_length_c 4.908
_cell_angle_alpha 90.00
_cell_angle_beta 90.00
_cell_angle_gamma 90.00
_symmetry_space_group_name_H-M 'P 1'
_symmetry_Int_Tables_number 1
loop_
_symmetry_equiv_pos_as_xyz
'x,y,z'
loop_
_atom_site_label
_atom_site_fract_x
_atom_site_fract_y
_atom_site_fract_z
Sr1 0.000 0.000 0.000
Mg1 0.500 0.500 0.000
Hg1 0.000 0.500 0.500
Hg2 0.500 0.000 0.500
Pd1 0.500 0.500 0.500

# MgTl2HgPd (GGA-PBE, optimized geometry)
# Formation enthalpy at 0 K (meV/atom): -86
data_MgTl2HgPd
_chemical_formula_sum 'Mg1 Tl2 Hg1 Pd1'
_cell_length_a 5.314
_cell_length_b 5.314
_cell_length_c 5.127
_cell_angle_alpha 90.00
_cell_angle_beta 90.00
_cell_angle_gamma 90.00
_symmetry_space_group_name_H-M 'P 1'
_symmetry_Int_Tables_number 1
loop_
_symmetry_equiv_pos_as_xyz
'x,y,z'
loop_
_atom_site_label
_atom_site_fract_x
_atom_site_fract_y
_atom_site_fract_z
Mg1 0.000 0.000 0.000
Tl1 0.000 0.500 0.500
Tl2 0.500 0.000 0.500
Hg1 0.500 0.500 0.000
Pd1 0.000 0.000 0.500

# Mg2TlHgPd (GGA-PBE, optimized geometry)
# Formation enthalpy at 0 K (meV/atom): 628
data_Mg2TlHgPd
_chemical_formula_sum 'Mg2 Tl1 Hg1 Pd1'
_cell_length_a 5.266
_cell_length_b 5.266
_cell_length_c 5.513
_cell_angle_alpha 90.00
_cell_angle_beta 90.00
_cell_angle_gamma 90.00
_symmetry_space_group_name_H-M 'P 1'
_symmetry_Int_Tables_number 1
loop_
_symmetry_equiv_pos_as_xyz
'x,y,z'
loop_
_atom_site_label
_atom_site_fract_x
_atom_site_fract_y
_atom_site_fract_z
Mg1 0.000 0.500 0.000
Mg2 0.500 0.000 0.000
Tl1 0.000 0.000 0.000
Hg1 0.000 0.000 0.500
Pd1 0.500 0.500 0.500

# MgTlHg2Pd (GGA-PBE, optimized geometry)
# Formation enthalpy at 0 K (meV/atom): -60
data_MgTlHg2Pd
_chemical_formula_sum 'Mg1 Tl1 Hg2 Pd1'
_cell_length_a 5.309
_cell_length_b 5.309
_cell_length_c 4.980
_cell_angle_alpha 90.00
_cell_angle_beta 90.00
_cell_angle_gamma 90.00
_symmetry_space_group_name_H-M 'P 1'
_symmetry_Int_Tables_number 1
loop_
_symmetry_equiv_pos_as_xyz
'x,y,z'
loop_
_atom_site_label
_atom_site_fract_x
_atom_site_fract_y
_atom_site_fract_z
Mg1 0.000 0.000 0.000
Tl1 0.500 0.500 0.000
Hg1 0.000 0.500 0.500
Hg2 0.500 0.000 0.500
Pd1 0.000 0.000 0.500

# TmMgHgPd (GGA-PBE, optimized geometry)
# Formation enthalpy at 0 K (meV/atom): -590
data_TmMgHgPd
_chemical_formula_sum 'Tm1 Mg1 Hg1 Pd1'
_cell_length_a 4.884
_cell_length_b 4.884
_cell_length_c 4.884
_cell_angle_alpha 60.00
_cell_angle_beta 60.00
_cell_angle_gamma 60.00
_symmetry_space_group_name_H-M 'P 1'
_symmetry_Int_Tables_number 1
loop_
_symmetry_equiv_pos_as_xyz
'x,y,z'
loop_
_atom_site_label
_atom_site_fract_x
_atom_site_fract_y
_atom_site_fract_z
Tm1 0.000 0.000 0.000
Mg1 0.500 0.500 0.500
Hg1 0.250 0.250 0.250
Pd1 0.750 0.750 0.750